Record 1
# TlGeH | Alexandria via LeMat-Bulk | PBE | optimized geometry
# - Polymorph energy (0 for the lowest one): 160 meV per atom
# - Total energy: -3.0687 eV per atom
data_TlGeH
_cell_length_a 7.3062
_cell_length_b 3.3106
_cell_length_c 9.5072
_cell_angle_alpha 90.00
_cell_angle_beta 90.00
_cell_angle_gamma 90.00
_space_group_name_H-M_alt 'P 1'
_space_group_IT_number 1
loop_
_space_group_symop_operation_xyz
'x,y,z'
loop_
_atom_site_label
_atom_site_type_symbol
_atom_site_fract_x
_atom_site_fract_y
_atom_site_fract_z
Ge1 Ge 0.1607 0.2500 0.4733
Ge2 Ge 0.3393 0.7500 0.9733
Ge3 Ge 0.8393 0.7500 0.5267
Ge4 Ge 0.6607 0.2500 0.0267
Tl1 Tl 0.0013 0.2500 0.7989
Tl2 Tl 0.9987 0.7500 0.2011
Tl3 Tl 0.4987 0.7500 0.2989
Tl4 Tl 0.5013 0.2500 0.7011
H1 H 0.2603 0.2500 0.0416
H2 H 0.2397 0.7500 0.5416
H3 H 0.7603 0.2500 0.4584
H4 H 0.7397 0.7500 0.9584

Record 2
# Zr2TlGeH | Alexandria via LeMat-Bulk | PBE | optimized geometry
# - Total energy: -5.5863 eV per atom
data_Zr2TlGeH
_cell_length_a 4.3580
_cell_length_b 4.6450
_cell_length_c 4.3580
_cell_angle_alpha 90.00
_cell_angle_beta 90.00
_cell_angle_gamma 90.00
_space_group_name_H-M_alt 'P 1'
_space_group_IT_number 1
loop_
_space_group_symop_operation_xyz
'x,y,z'
loop_
_atom_site_label
_atom_site_type_symbol
_atom_site_fract_x
_atom_site_fract_y
_atom_site_fract_z
H1 H 0.0000 0.0000 0.0000
Zr1 Zr 0.5000 0.0000 0.0000
Zr2 Zr 0.0000 0.0000 0.5000
Ge1 Ge 0.0000 0.5000 0.0000
Tl1 Tl 0.5000 0.5000 0.5000

Record 3
# Tm12Ge3H5 | Alexandria via LeMat-Bulk | PBE | optimized geometry
# - Total energy: -4.6022 eV per atom
data_Tm12Ge3H5
_cell_length_a 12.9621
_cell_length_b 12.9621
_cell_length_c 12.9621
_cell_angle_alpha 109.47
_cell_angle_beta 109.47
_cell_angle_gamma 109.47
_space_group_name_H-M_alt 'P 1'
_space_group_IT_number 1
loop_
_space_group_symop_operation_xyz
'x,y,z'
loop_
_atom_site_label
_atom_site_type_symbol
_atom_site_fract_x
_atom_site_fract_y
_atom_site_fract_z
H1 H 0.0000 0.5000 0.0000
H2 H 0.8750 0.2500 0.6250
H3 H 0.5000 0.0000 0.0000
H4 H 0.5000 0.5000 0.5000
H5 H 0.0000 0.5000 0.5000
H6 H 0.8750 0.6250 0.7500
H7 H 0.5000 0.0000 0.5000
H8 H 0.1250 0.7500 0.3750
H9 H 0.0000 0.0000 0.5000
H10 H 0.0000 0.0000 0.0000
H11 H 0.2500 0.8750 0.1250
H12 H 0.6250 0.7500 0.8750
H13 H 0.6250 0.8750 0.2500
H14 H 0.5000 0.5000 0.0000
H15 H 0.3750 0.1250 0.7500
H16 H 0.7500 0.6250 0.3750
H17 H 0.3750 0.2500 0.1250
H18 H 0.1250 0.3750 0.2500
H19 H 0.7500 0.1250 0.8750
H20 H 0.2500 0.3750 0.6250
Tm1 Tm 0.5968 0.7115 0.6917
Tm2 Tm 0.5198 0.3083 0.9051
Tm3 Tm 0.9051 0.0968 0.8853
Tm4 Tm 0.0198 0.4051 0.8083
Tm5 Tm 0.4032 0.2885 0.3083
Tm6 Tm 0.0949 0.9032 0.1147
Tm7 Tm 0.7115 0.1147 0.0198
Tm8 Tm 0.8853 0.2885 0.4802
Tm9 Tm 0.9032 0.0949 0.6147
Tm10 Tm 0.3083 0.7885 0.4032
Tm11 Tm 0.1147 0.4032 0.0949
Tm12 Tm 0.5949 0.9802 0.6917
Tm13 Tm 0.4051 0.0198 0.3083
Tm14 Tm 0.4802 0.7885 0.8853
Tm15 Tm 0.0949 0.1917 0.4802
Tm16 Tm 0.6147 0.5949 0.9032
Tm17 Tm 0.1147 0.7115 0.5198
Tm18 Tm 0.0198 0.6147 0.7115
Tm19 Tm 0.2885 0.8853 0.9802
Tm20 Tm 0.4032 0.1147 0.5949
Tm21 Tm 0.3083 0.5198 0.4051
Tm22 Tm 0.6917 0.4802 0.5949
Tm23 Tm 0.7115 0.5968 0.1917
Tm24 Tm 0.8083 0.9051 0.0198
Tm25 Tm 0.5968 0.8853 0.4051
Tm26 Tm 0.2885 0.4032 0.8083
Tm27 Tm 0.6917 0.2115 0.5968
Tm28 Tm 0.9802 0.5949 0.1917
Tm29 Tm 0.8853 0.5968 0.9051
Tm30 Tm 0.9032 0.8083 0.7885
Tm31 Tm 0.9802 0.3853 0.2885
Tm32 Tm 0.6147 0.0198 0.2115
Tm33 Tm 0.7885 0.3083 0.9032
Tm34 Tm 0.1917 0.0949 0.9802
Tm35 Tm 0.0968 0.9051 0.3853
Tm36 Tm 0.2115 0.6917 0.0968
Tm37 Tm 0.8083 0.9032 0.2885
Tm38 Tm 0.5949 0.6147 0.4032
Tm39 Tm 0.0968 0.1917 0.2115
Tm40 Tm 0.4802 0.6917 0.0949
Tm41 Tm 0.9051 0.8083 0.5198
Tm42 Tm 0.1917 0.0968 0.7115
Tm43 Tm 0.3853 0.9802 0.7885
Tm44 Tm 0.7885 0.4802 0.3853
Tm45 Tm 0.3853 0.4051 0.0968
Tm46 Tm 0.4051 0.3853 0.5968
Tm47 Tm 0.2115 0.5198 0.6147
Tm48 Tm 0.5198 0.2115 0.1147
Ge1 Ge 0.7500 0.8750 0.6250
Ge2 Ge 0.8750 0.7500 0.1250
Ge3 Ge 0.6250 0.2500 0.3750
Ge4 Ge 0.2500 0.1250 0.3750
Ge5 Ge 0.2500 0.6250 0.8750
Ge6 Ge 0.3750 0.6250 0.2500
Ge7 Ge 0.1250 0.8750 0.7500
Ge8 Ge 0.8750 0.1250 0.2500
Ge9 Ge 0.1250 0.2500 0.8750
Ge10 Ge 0.6250 0.3750 0.7500
Ge11 Ge 0.3750 0.7500 0.6250
Ge12 Ge 0.7500 0.3750 0.1250

Record 4
# Tm4Ge2H | Alexandria via LeMat-Bulk | PBE | optimized geometry
# - Total energy: -4.9809 eV per atom
data_Tm4Ge2H
_cell_length_a 4.3544
_cell_length_b 4.3544
_cell_length_c 8.3963
_cell_angle_alpha 74.97
_cell_angle_beta 74.97
_cell_angle_gamma 90.00
_space_group_name_H-M_alt 'P 1'
_space_group_IT_number 1
loop_
_space_group_symop_operation_xyz
'x,y,z'
loop_
_atom_site_label
_atom_site_type_symbol
_atom_site_fract_x
_atom_site_fract_y
_atom_site_fract_z
Tm1 Tm 0.8199 0.8199 0.3601
Tm2 Tm 0.5000 0.0000 0.0000
Tm3 Tm 0.0000 0.5000 0.0000
Tm4 Tm 0.1801 0.1801 0.6399
H1 H 0.0000 0.0000 0.0000
Ge1 Ge 0.6351 0.6351 0.7297
Ge2 Ge 0.3649 0.3649 0.2703

Record 5
# TmGeH | Alexandria via LeMat-Bulk | PBE | optimized geometry
# - Polymorph energy (0 for the lowest one): 0 meV per atom
# - Total energy: -4.8394 eV per atom
data_TmGeH
_cell_length_a 3.9809
_cell_length_b 3.9612
_cell_length_c 5.9911
_cell_angle_alpha 90.00
_cell_angle_beta 109.37
_cell_angle_gamma 90.00
_space_group_name_H-M_alt 'P 1'
_space_group_IT_number 1
loop_
_space_group_symop_operation_xyz
'x,y,z'
loop_
_atom_site_label
_atom_site_type_symbol
_atom_site_fract_x
_atom_site_fract_y
_atom_site_fract_z
Ge1 Ge 0.6826 0.6155 0.8286
Ge2 Ge 0.5475 0.1155 0.5571
H1 H 0.3693 0.6155 0.2021
H2 H 0.8608 0.1155 0.1835
Tm1 Tm 0.9652 0.6154 0.3923
Tm2 Tm 0.2649 0.1155 0.9934

Record 6
# Tm3GeH3 | Alexandria via LeMat-Bulk | PBE | optimized geometry
# - Total energy: -4.6054 eV per atom
data_Tm3GeH3
_cell_length_a 6.4085
_cell_length_b 6.4085
_cell_length_c 7.5506
_cell_angle_alpha 64.89
_cell_angle_beta 64.89
_cell_angle_gamma 60.00
_space_group_name_H-M_alt 'P 1'
_space_group_IT_number 1
loop_
_space_group_symop_operation_xyz
'x,y,z'
loop_
_atom_site_label
_atom_site_type_symbol
_atom_site_fract_x
_atom_site_fract_y
_atom_site_fract_z
Tm1 Tm 0.7634 0.4317 0.7152
Tm2 Tm 0.2366 0.5683 0.2848
Tm3 Tm 0.0897 0.7634 0.7152
Tm4 Tm 0.5683 0.9103 0.2848
Tm5 Tm 0.9103 0.2366 0.2848
Tm6 Tm 0.4317 0.0897 0.7152
H1 H 0.5355 0.2141 0.3851
H2 H 0.2141 0.8654 0.3851
H3 H 0.7859 0.1346 0.6149
H4 H 0.8654 0.5355 0.3851
H5 H 0.4645 0.7859 0.6149
H6 H 0.1346 0.4645 0.6149
Ge1 Ge 0.3342 0.3342 0.9972
Ge2 Ge 0.6657 0.6657 0.0028

Please write out number 2 again, unchanged.
# Zr2TlGeH | Alexandria via LeMat-Bulk | PBE | optimized geometry
# - Total energy: -5.5863 eV per atom
data_Zr2TlGeH
_cell_length_a 4.3580
_cell_length_b 4.6450
_cell_length_c 4.3580
_cell_angle_alpha 90.00
_cell_angle_beta 90.00
_cell_angle_gamma 90.00
_space_group_name_H-M_alt 'P 1'
_space_group_IT_number 1
loop_
_space_group_symop_operation_xyz
'x,y,z'
loop_
_atom_site_label
_atom_site_type_symbol
_atom_site_fract_x
_atom_site_fract_y
_atom_site_fract_z
H1 H 0.0000 0.0000 0.0000
Zr1 Zr 0.5000 0.0000 0.0000
Zr2 Zr 0.0000 0.0000 0.5000
Ge1 Ge 0.0000 0.5000 0.0000
Tl1 Tl 0.5000 0.5000 0.5000

- What is the total energy in the first record?
  -3.0687 eV per atom